Record 1
# La4TlAgO PBE relaxed
data_La4TlAgO
_chemical_formula_sum 'La16 Tl4 Ag4 O4'
_cell_length_a 7.127
_cell_length_b 15.997
_cell_length_c 7.129
_cell_angle_alpha 90.00
_cell_angle_beta 90.00
_cell_angle_gamma 90.00
_symmetry_space_group_name_H-M 'C m c m'
_symmetry_Int_Tables_number 63
_symmetry_space_group_name_Hall '-C 2c 2'
loop_
_atom_site_label
_atom_site_type_symbol
_atom_site_fract_x
_atom_site_fract_y
_atom_site_fract_z
La1 La 0.000 0.068 0.250
La2 La 0.000 0.420 0.250
La3 La 0.250 0.250 0.000
Tl1 Tl 0.000 0.384 0.750
Ag1 Ag 0.000 0.120 0.750
O1 O 0.000 0.251 0.250
# Calculated volume   812.7 Å³/cell
# Formation energy (no corrections)   -955 meV/atom
# Total moment   0.0 μB/f.u.
# Density   7.224 g/cm³



Record 2
# MnSeBr2N PBE relaxed
data_MnSeBr2N
_chemical_formula_sum 'Mn1 Se1 Br2 N1'
_cell_length_a 4.507
_cell_length_b 4.507
_cell_length_c 4.854
_cell_angle_alpha 90.00
_cell_angle_beta 90.00
_cell_angle_gamma 90.00
_symmetry_space_group_name_H-M 'P 4/m m m'
_symmetry_Int_Tables_number 123
_symmetry_space_group_name_Hall '-P 4 2'
loop_
_atom_site_label
_atom_site_type_symbol
_atom_site_fract_x
_atom_site_fract_y
_atom_site_fract_z
Mn1 Mn 0.000 0.000 0.000
Se1 Se 0.500 0.500 0.000
Br1 Br 0.000 0.500 0.500
N1 N 0.500 0.500 0.500
# E above lowest polymorph   0.000 eV per atom
# Calculated volume   98.6 Å³/cell
# Formation energy (no corrections)   926 meV/atom
# Total moment   5.0 μB/f.u.
# Density   5.182 g/cm³